Record 1
Below is a relaxed Li3Hg2Sb3 crystal, with properties calculated at the PBE level. Values from VASP.

Calculated values
* raw formation energy: -0.226 eV per atom
* VASP energy: -2.565 eV/atom
* size of the total moment: 0.0 μB/f.u.

The structure in Quantum ESPRESSO input format:
```
&SYSTEM
  ibrav = 0, nat = 8, ntyp = 3
/
ATOMIC_SPECIES
Li 6.94 Li.upf
Hg 200.59 Hg.upf
Sb 121.76 Sb.upf
ATOMIC_POSITIONS crystal
Li 0.0000 0.0000 0.0000
Li 0.1286 0.1286 0.7005
Li 0.8714 0.8714 0.2995
Hg 0.2243 0.2243 0.3464
Hg 0.7757 0.7757 0.6536
Sb 0.3872 0.3872 0.0213
Sb 0.5000 0.5000 0.5000
Sb 0.6128 0.6128 0.9787
CELL_PARAMETERS angstrom
6.1728 -2.3869 0.0000
6.1728 2.3869 0.0000
-3.1741 0.0000 6.5234
```


Record 2
Below is a relaxed Li6HgSb crystal, with properties calculated at the PBE level. Values from VASP.

Calculated values
* raw formation energy: -0.379 eV per atom
* VASP energy: -2.367 eV/atom
* size of the total moment: 0.0 μB/f.u.

The structure in Quantum ESPRESSO input format:
```
&SYSTEM
  ibrav = 0, nat = 8, ntyp = 3
/
ATOMIC_SPECIES
Li 6.94 Li.upf
Hg 200.59 Hg.upf
Sb 121.76 Sb.upf
ATOMIC_POSITIONS crystal
Li 0.0000 0.0000 0.0000
Li 0.0000 0.5229 0.9988
Li 0.0000 0.9988 0.5229
Li 0.5000 0.3408 0.3408
Li 0.5000 0.3427 0.8311
Li 0.5000 0.8311 0.3427
Hg 0.0000 0.5055 0.5055
Sb 0.5000 0.8395 0.8395
CELL_PARAMETERS angstrom
4.6816 0.0000 0.0000
0.0000 3.0123 5.1687
0.0000 -3.0123 5.1687
```